[1]
## BaScSb2O8 (PBE)

Data for BaScSb2O8 after structural relaxation.

Values from the calculation:
- Fermi-level density of states: 7.81 states/eV/cell
- Total magnetization: 1.02 μB per cell
- Symmetry: P2/m
- Calculated total energy: -0.477 Ry per atom

Structure (POSCAR):
```
BaScSb2O8
1.0
0.111 -2.979 4.200
4.583 -2.086 -1.076
3.018 4.883 3.383
O Ba Sb Sc
8 1 2 1
Cartesian
5.976 1.597 2.776 O
3.507 1.086 5.716 O
6.237 1.416 5.517 O
4.205 -1.268 0.791 O
4.621 -0.905 3.746 O
1.736 -1.779 3.731 O
1.475 -1.598 0.990 O
3.091 0.723 2.761 O
1.509 2.442 1.692 Ba
3.083 -1.342 2.387 Sb
4.629 1.160 4.120 Sb
0.000 0.000 0.000 Sc
```


[2]
## Zr3P (PBE)

Data for Zr3P after structural relaxation.

Values from the calculation:
- Fermi-level density of states: 5.11 states/eV/cell
- Total magnetization: 0.00 μB per cell
- Symmetry: I4/mmm
- E above lowest polymorph: 534 meV per atom
- Formation energy: -0.329 eV per atom
- Calculated total energy: -0.595 Ry per atom

Structure (POSCAR):
```
Zr3P
1.0
-2.057 2.057 4.696
2.057 -2.057 4.696
2.057 2.057 -4.696
Zr P
3 1
Cartesian
0.000 2.057 2.348 Zr
2.057 0.000 2.348 Zr
0.000 0.000 4.696 Zr
0.000 0.000 0.000 P
```


[3]
## NdP3Rh4 (PBE)

Data for NdP3Rh4 after structural relaxation.

Values from the calculation:
- Fermi-level density of states: 4.36 states/eV/cell
- Total magnetization: 0.00 μB per cell
- Symmetry: P4/mmm
- Formation energy: -0.935 eV per atom
- Calculated total energy: -0.532 Ry per atom

Structure (POSCAR):
```
NdP3Rh4
1.0
-1.470 -2.598 -2.661
-0.996 -2.482 2.973
-6.983 3.421 0.517
Rh P Nd
4 3 1
Cartesian
-6.459 1.506 -0.906 Rh
-1.757 -0.624 1.580 Rh
-6.222 1.564 1.911 Rh
-1.994 -0.682 -1.237 Rh
-5.785 -0.309 0.493 P
-3.663 -1.349 0.336 P
0.000 0.000 0.000 P
-3.491 1.711 0.259 Nd
```


[4]
## AcLa2Pm2Pr2 (PBE)

Data for AcLa2Pm2Pr2 after structural relaxation.

Values from the calculation:
- Fermi-level density of states: 13.66 states/eV/cell
- Total magnetization: 0.00 μB per cell
- Symmetry: C2/m
- Formation energy: 0.024 eV per atom
- Calculated total energy: -0.345 Ry per atom

Structure (POSCAR):
```
AcLa2Pm2Pr2
1.0
5.306 0.000 0.000
-2.653 5.931 0.315
0.000 -1.601 8.192
Pr La Pm Ac
2 2 2 1
Cartesian
2.653 -0.251 5.846 Pr
0.000 4.581 2.661 Pr
0.000 2.024 7.157 La
2.653 2.306 1.351 La
2.653 3.331 4.883 Pm
0.000 0.999 3.624 Pm
0.000 0.000 0.000 Ac
```


[5]
## TlP2S2 (PBE)

Data for TlP2S2 after structural relaxation.

Values from the calculation:
- Fermi-level density of states: 4.98 states/eV/cell
- Total magnetization: 0.70 μB per cell
- Symmetry: P4/mmm
- E above lowest polymorph: 328 meV per atom
- Calculated total energy: -0.262 Ry per atom

Structure (POSCAR):
```
TlP2S2
1.0
-2.489 3.365 2.154
-2.699 -3.287 2.016
2.935 -0.169 3.655
S Tl P
2 1 2
Cartesian
0.000 0.000 0.000 S
1.468 -0.084 1.827 S
-1.126 -0.046 3.913 Tl
-1.349 -1.644 1.008 P
-1.244 1.682 1.077 P
```


[6]
## Sm4SBr5 (PBE)

Data for Sm4SBr5 after structural relaxation.

Values from the calculation:
- Fermi-level density of states: 2.28 states/eV/cell
- Total magnetization: 0.00 μB per cell
- Symmetry: C2/m
- Calculated total energy: -0.354 Ry per atom

Structure (POSCAR):
```
Sm4SBr5
1.0
3.910 0.000 -0.851
-0.435 8.203 -1.999
-0.016 0.023 9.332
Sm S Br
4 1 5
Cartesian
0.958 7.612 4.399 Sm
2.501 0.613 2.083 Sm
-0.336 6.431 -1.541 Sm
3.795 1.795 8.022 Sm
1.955 0.000 -0.426 S
3.146 1.451 5.045 Br
1.737 4.102 -1.425 Br
0.491 2.768 2.254 Br
2.968 5.458 4.228 Br
0.313 6.774 1.436 Br
```


[7]
## LiTaBe (PBE)

Data for LiTaBe after structural relaxation.

Values from the calculation:
- Fermi-level density of states: 7.93 states/eV/cell
- Total magnetization: 0.00 μB per cell
- Symmetry: Pnma
- E above lowest polymorph: 156 meV per atom
- Formation energy: 0.285 eV per atom
- Calculated total energy: -0.408 Ry per atom

Structure (POSCAR):
```
LiTaBe
1.0
5.961 0.000 0.000
0.000 2.835 0.000
0.000 0.000 10.251
Li Ta Be
4 4 4
Cartesian
3.616 2.126 9.188 Li
2.345 0.709 1.063 Li
5.326 0.709 4.063 Li
0.635 2.126 6.188 Li
0.632 2.126 9.253 Ta
5.329 0.709 0.998 Ta
2.348 0.709 4.127 Ta
3.613 2.126 6.124 Ta
5.106 0.709 7.699 Be
0.855 2.126 2.552 Be
2.126 0.709 7.678 Be
3.835 2.126 2.573 Be
```


[8]
## Sm2Dy3Zn2 (PBE)

Data for Sm2Dy3Zn2 after structural relaxation.

Values from the calculation:
- Fermi-level density of states: 7.47 states/eV/cell
- Total magnetization: 0.82 μB per cell
- Symmetry: Cmmm
- E above lowest polymorph: 0 meV per atom
- Formation energy: -0.127 eV per atom
- Calculated total energy: -0.280 Ry per atom

Structure (POSCAR):
```
Sm2Dy3Zn2
1.0
-2.361 1.757 -2.107
-2.235 0.290 2.746
7.586 12.313 4.876
Sm Dy Zn
2 3 2
Cartesian
0.255 6.281 1.843 Sm
2.735 8.079 3.672 Sm
-1.238 3.207 0.952 Dy
4.227 11.153 4.562 Dy
0.000 0.000 0.000 Dy
1.782 3.670 1.063 Zn
3.443 10.400 1.705 Zn
```